1.
Computed, not measured: a geometry-optimized KPbF3 structure at the PBE level of DFT.

## Properties
The value obtained for the size of the total moment is 0.0 μB/f.u. The value obtained for the total energy is -4.60 eV/atom. The raw formation energy is -2513.6 meV per atom. The calculation puts the density of states at the Fermi level at 0.00 states/eV/atom.

abc: 8.1355 6.2984 8.4345
angles: 90.00 109.48 90.00
Fractional positions:
1 K 0.1317 0.2259 0.1442
2 K 0.1317 0.2741 0.6442
3 K 0.8683 0.7259 0.3558
4 K 0.8683 0.7741 0.8558
5 Pb 0.3734 0.7382 0.8758
6 Pb 0.3734 0.7618 0.3758
7 Pb 0.6266 0.2382 0.6242
8 Pb 0.6266 0.2618 0.1242
9 F 0.0827 0.7034 0.6756
10 F 0.0827 0.7966 0.1756
11 F 0.3288 0.1017 0.4734
12 F 0.3288 0.3983 0.9734
13 F 0.4331 0.5421 0.6687
14 F 0.4331 0.9579 0.1687
15 F 0.5669 0.0421 0.8313
16 F 0.5669 0.4579 0.3313
17 F 0.6712 0.6017 0.0266
18 F 0.6712 0.8983 0.5266
19 F 0.9173 0.2034 0.8244
20 F 0.9173 0.2966 0.3244

=====

2.
Computed, not measured: a geometry-optimized La2Pr3Zn2 structure at the PBE level of DFT.

## Properties
The value obtained for the size of the total moment is 0.0 μB/f.u. The value obtained for the total energy is -3.95 eV/atom. The calculation puts the density of states at the Fermi level at 1.11 states/eV/atom. As for the excess energy over the best structure of this formula in the dataset: 0 meV per atom.

abc: 15.4000 15.4000 3.7244
angles: 90.00 90.00 165.98
Fractional positions:
1 La 0.2043 0.7957 0.0000
2 La 0.7957 0.2043 0.0000
3 Pr 0.0860 0.9140 0.0000
4 Pr 0.5000 0.5000 0.5000
5 Pr 0.9140 0.0860 0.0000
6 Zn 0.3570 0.6430 0.5000
7 Zn 0.6430 0.3570 0.5000